Entry 1:
Below is a relaxed TcOsN2 crystal, with properties calculated at the PBE level.

Geometry as CIF:
```
data_TcOsN2
_space_group_name_H-M_alt 'R -3 m'
_space_group_IT_number 166
_space_group_name_Hall '-R 3 2"'
_cell_length_a 2.7685
_cell_length_b 2.7685
_cell_length_c 19.8272
_cell_angle_alpha 90.00
_cell_angle_beta 90.00
_cell_angle_gamma 120.00
loop_
_atom_site_label
_atom_site_type_symbol
_atom_site_fract_x
_atom_site_fract_y
_atom_site_fract_z
Tc1 Tc 0.0000 0.0000 0.0000
Os1 Os 0.0000 0.0000 0.5000
N1 N 0.0000 0.0000 0.4017
```

Summary:
* crystal system: trigonal
* relative energy among the computed polymorphs: 0 meV per atom
* calculated total energy: -0.681 Ry per atom

Entry 2:
Below is a relaxed Tc2Os2N crystal, with properties calculated at the PBE level.

Geometry as CIF:
```
data_Tc2Os2N
_space_group_name_H-M_alt 'I 4/m m m'
_space_group_IT_number 139
_space_group_name_Hall '-I 4 2'
_cell_length_a 3.4988
_cell_length_b 3.4988
_cell_length_c 12.6739
_cell_angle_alpha 90.00
_cell_angle_beta 90.00
_cell_angle_gamma 90.00
loop_
_atom_site_label
_atom_site_type_symbol
_atom_site_fract_x
_atom_site_fract_y
_atom_site_fract_z
Tc1 Tc 0.0000 0.0000 0.0972
Os1 Os 0.0000 0.5000 0.2500
N1 N 0.0000 0.0000 0.5000
```

Summary:
* crystal system: tetragonal
* relative energy among the computed polymorphs: 149 meV per atom
* calculated total energy: -0.653 Ry per atom

Entry 3:
Below is a relaxed TcTe2OsN crystal, with properties calculated at the PBE level.

Geometry as CIF:
```
data_TcTe2OsN
_space_group_name_H-M_alt 'P 4/m m m'
_space_group_IT_number 123
_space_group_name_Hall '-P 4 2'
_cell_length_a 5.2628
_cell_length_b 5.2628
_cell_length_c 3.6291
_cell_angle_alpha 90.00
_cell_angle_beta 90.00
_cell_angle_gamma 90.00
loop_
_atom_site_label
_atom_site_type_symbol
_atom_site_fract_x
_atom_site_fract_y
_atom_site_fract_z
Tc1 Tc 0.0000 0.0000 0.0000
Te1 Te 0.0000 0.5000 0.0000
Os1 Os 0.5000 0.5000 0.5000
N1 N 0.0000 0.0000 0.5000
```

Summary:
* crystal system: tetragonal
* relative energy among the computed polymorphs: 202 meV per atom
* calculated total energy: -0.455 Ry per atom

Entry 4:
Below is a relaxed TcTe2OsN crystal, with properties calculated at the PBE level.

Geometry as CIF:
```
data_TcTe2OsN
_space_group_name_H-M_alt 'P 4/m m m'
_space_group_IT_number 123
_space_group_name_Hall '-P 4 2'
_cell_length_a 5.3996
_cell_length_b 5.3996
_cell_length_c 3.6529
_cell_angle_alpha 90.00
_cell_angle_beta 90.00
_cell_angle_gamma 90.00
loop_
_atom_site_label
_atom_site_type_symbol
_atom_site_fract_x
_atom_site_fract_y
_atom_site_fract_z
Tc1 Tc 0.0000 0.0000 0.0000
Te1 Te 0.0000 0.5000 0.5000
Os1 Os 0.5000 0.5000 0.5000
N1 N 0.5000 0.5000 0.0000
```

Summary:
* crystal system: tetragonal
* relative energy among the computed polymorphs: 0 meV per atom
* calculated total energy: -0.470 Ry per atom

Entry 5:
Below is a relaxed TcOsW2N crystal, with properties calculated at the PBE level.

Geometry as CIF:
```
data_TcOsW2N
_space_group_name_H-M_alt 'P 4/m m m'
_space_group_IT_number 123
_space_group_name_Hall '-P 4 2'
_cell_length_a 4.0998
_cell_length_b 4.0998
_cell_length_c 4.0307
_cell_angle_alpha 90.00
_cell_angle_beta 90.00
_cell_angle_gamma 90.00
loop_
_atom_site_label
_atom_site_type_symbol
_atom_site_fract_x
_atom_site_fract_y
_atom_site_fract_z
Tc1 Tc 0.0000 0.0000 0.0000
Os1 Os 0.5000 0.5000 0.0000
W1 W 0.0000 0.5000 0.5000
N1 N 0.0000 0.0000 0.5000
```

Summary:
* crystal system: tetragonal
* calculated total energy: -0.818 Ry per atom

Entry 6:
Below is a relaxed Zn2TcOsN crystal, with properties calculated at the PBE level.

Geometry as CIF:
```
data_Zn2TcOsN
_space_group_name_H-M_alt 'P 4/m m m'
_space_group_IT_number 123
_space_group_name_Hall '-P 4 2'
_cell_length_a 4.2680
_cell_length_b 4.2680
_cell_length_c 3.7740
_cell_angle_alpha 90.00
_cell_angle_beta 90.00
_cell_angle_gamma 90.00
loop_
_atom_site_label
_atom_site_type_symbol
_atom_site_fract_x
_atom_site_fract_y
_atom_site_fract_z
Zn1 Zn 0.0000 0.5000 0.0000
Tc1 Tc 0.0000 0.0000 0.5000
Os1 Os 0.5000 0.5000 0.5000
N1 N 0.5000 0.5000 0.0000
```

Summary:
* crystal system: tetragonal
* calculated total energy: -0.429 Ry per atom

Entry 7:
Below is a relaxed TeOs4N2 crystal, with properties calculated at the PBE level.

Geometry as CIF:
```
data_TeOs4N2
_space_group_name_H-M_alt 'I 4/m m m'
_space_group_IT_number 139
_space_group_name_Hall '-I 4 2'
_cell_length_a 4.7870
_cell_length_b 4.7870
_cell_length_c 11.4617
_cell_angle_alpha 90.00
_cell_angle_beta 90.00
_cell_angle_gamma 90.00
loop_
_atom_site_label
_atom_site_type_symbol
_atom_site_fract_x
_atom_site_fract_y
_atom_site_fract_z
Te1 Te 0.0000 0.0000 0.0000
Os1 Os 0.0000 0.0000 0.2455
Os2 Os 0.0000 0.5000 0.0000
N1 N 0.0000 0.0000 0.3962
```

Summary:
* crystal system: tetragonal
* calculated total energy: -0.490 Ry per atom

Entry 8:
Below is a relaxed Te2OsN crystal, with properties calculated at the PBE level.

Geometry as CIF:
```
data_Te2OsN
_space_group_name_H-M_alt 'I -4 2 d'
_space_group_IT_number 122
_space_group_name_Hall 'I -4 2bw'
_cell_length_a 5.6650
_cell_length_b 5.6650
_cell_length_c 11.0624
_cell_angle_alpha 90.00
_cell_angle_beta 90.00
_cell_angle_gamma 90.00
loop_
_atom_site_label
_atom_site_type_symbol
_atom_site_fract_x
_atom_site_fract_y
_atom_site_fract_z
Te1 Te 0.2201 0.2500 0.1250
Os1 Os 0.0000 0.0000 0.5000
N1 N 0.0000 0.0000 0.0000
```

Summary:
* crystal system: tetragonal
* calculated total energy: -0.400 Ry per atom